# 1
Tb4NdSb2: relaxed, PBE.

Cell lengths 5.2876, 5.2876, 16.5634 Å; angles 90.00, 90.00, 90.00 degrees
Space group I4/mmm (No. 139)
One atom of each set of equivalent atoms:
Tb 0.0000 0.0000 0.1840 (multiplicity 4)
Tb 0.0000 0.5000 0.0000 (multiplicity 4)
Nd 0.0000 0.0000 0.0000 (multiplicity 2)
Sb 0.0000 0.0000 0.3673 (multiplicity 4)

Output
Formation energy from raw total energies: 0.2367 eV/atom
Uncorrected energy: -4.27 eV per atom
Magnetic moment: 0.0 Bohr magnetons per cell

=====

# 2
Sn2Pd6Se: relaxed, PBE.

Cell lengths 7.4088, 7.4088, 3.2334 Å; angles 90.00, 90.00, 120.00 degrees
Space group P-62m (No. 189)
One atom of each set of equivalent atoms:
Sn 0.3333 0.6667 0.0000 (multiplicity 2)
Pd 0.0000 0.2831 0.0000 (multiplicity 3)
Pd 0.0000 0.6239 0.5000 (multiplicity 3)
Se 0.0000 0.0000 0.5000 (multiplicity 1)

Output
Formation energy from raw total energies: -0.4176 eV/atom
Uncorrected energy: -5.16 eV per atom
Magnetic moment: 0.0 Bohr magnetons per cell

=====

Question: Among the records above, which one has the highest formation energy from raw total energies?
Answer: Tb4NdSb2

=====

Question: Look up the uncorrected energy of the first one.
Answer: -4.27 eV per atom